# 1
This record from the Alexandria database describes a geometry-optimized Mg2CrMo structure. The functional is PBE.

Symmetry: P4mm (99)
Energy above the most stable polymorph in this dataset: 0.00 eV per formula unit

```
Mg2CrMo
1.0
-2.567 -1.090 1.496
1.792 -0.820 2.477
-1.027 6.297 2.827
Cr Mg Mo
1 2 1
Direct
0.500 0.500 0.704
0.000 0.000 0.970
0.500 0.500 0.276
0.000 0.000 0.550
```

# 2
This record from the Alexandria database describes a geometry-optimized MgCr2Mo structure. The functional is PBE.

Symmetry: I-4m2 (119)

```
MgCr2Mo
1.0
5.086 0.010 0.000
2.430 4.468 0.000
-3.758 -2.239 2.595
Cr Mg Mo
2 1 1
Direct
0.000 0.000 0.000
0.250 0.750 0.500
0.500 0.500 0.000
0.750 0.250 0.500
```

# 3
This record from the Alexandria database describes a geometry-optimized Mg14CrMo structure. The functional is PBE.

Symmetry: Amm2 (38)
Energy above the most stable polymorph in this dataset: 0.00 eV per formula unit

```
Mg14CrMo
1.0
3.080 -5.456 0.000
3.080 5.456 0.000
0.000 0.000 10.098
Mg Cr Mo
14 1 1
Direct
0.834 0.166 0.000
0.333 0.667 0.000
0.333 0.167 0.500
0.331 0.167 0.000
0.833 0.667 0.500
0.833 0.669 0.000
0.167 0.339 0.266
0.167 0.339 0.734
0.661 0.833 0.266
0.661 0.833 0.734
0.671 0.329 0.255
0.671 0.329 0.745
0.173 0.827 0.259
0.173 0.827 0.741
0.831 0.169 0.500
0.328 0.672 0.500
```

# 4
This record from the Alexandria database describes a geometry-optimized Mg14CrMo structure. The functional is PBE.

Symmetry: P-6m2 (187)
Energy above the most stable polymorph in this dataset: 0.16 eV per formula unit

```
Mg14CrMo
1.0
0.007 6.181 -0.938
-0.720 -3.895 -4.837
-9.923 0.210 1.307
Mg Cr Mo
14 1 1
Direct
0.003 0.502 0.000
0.001 0.500 0.500
0.498 0.997 0.000
0.500 0.999 0.500
0.498 0.502 0.000
0.500 0.500 0.500
0.159 0.841 0.256
0.159 0.841 0.744
0.159 0.318 0.256
0.159 0.318 0.744
0.682 0.841 0.256
0.682 0.841 0.744
0.667 0.333 0.249
0.667 0.333 0.751
0.000 0.000 0.000
0.000 0.000 0.500
```

# 5
This record from the Alexandria database describes a geometry-optimized MgCr2Mo structure. The functional is PBE.

Symmetry: C2/m (12)

```
MgCr2Mo
1.0
-0.075 -3.586 3.605
4.360 2.618 -0.683
-0.102 1.475 2.113
Cr Mg Mo
2 1 1
Direct
0.000 0.000 0.000
0.000 0.500 0.500
0.500 0.500 0.000
0.500 0.000 0.500
```

# 6
This record from the Alexandria database describes a geometry-optimized MgCrMo2 structure. The functional is PBE.

Symmetry: I-42d (122)

```
MgCrMo2
1.0
7.070 0.000 0.000
0.000 7.070 0.000
3.535 3.535 2.659
Cr Mo Mg
2 4 2
Direct
0.000 0.000 0.000
0.750 0.250 0.500
0.674 0.125 0.250
0.076 0.625 0.250
0.375 0.326 0.750
0.875 0.924 0.750
0.500 0.500 0.000
0.250 0.750 0.500
```

no.,formation energy from the elements (meV per atom),total moment (Bohr magnetons per cell)
1,226,0.56
2,530,2.00
3,152,2.16
4,162,4.85
5,439,0.00
6,754,0.00